This record from OQMD via LeMat-Bulk describes a relaxed LuFe2B crystal. The functional is PBE-GGA.

E_tot	-6.611	eV per atom

Cell lengths 4.1336, 4.1336, 4.1336 Å; angles 60.00, 60.00, 60.00 degrees
Closest atoms and distances in Å follow each position.
Element x y z (fractional)
Lu (0.0000, 0.0000, 0.0000)  4 B 2.53, 4 Fe 2.53
Fe (0.2500, 0.2500, 0.2500)  4 Fe 2.53, 4 Lu 2.53
Fe (0.5000, 0.5000, 0.5000)  4 Fe 2.53, 4 B 2.53
B (0.7500, 0.7500, 0.7500)  4 Fe 2.53, 4 Lu 2.53